Below is crystalline Ho3MgSe4 at its relaxed geometry, with properties calculated at the PBE level.

Unit cell a=3.977 b=3.977 c=13.671 alpha=81.64 beta=81.64 gamma=60.00
Positions (direct):
Se 0.372 0.372 0.884
Se 0.628 0.628 0.116
Se 0.875 0.875 0.374
Se 0.125 0.125 0.626
Ho 0.249 0.249 0.253
Ho 0.751 0.751 0.747
Ho 0.500 0.500 0.500
Mg 0.000 0.000 0.000

Energy ... -41.85 eV/f.u.